Record 1
NdSnHgGe | PBE-GGA | relaxed

Values from the calculation:
- Fermi-level density of states (states/eV/f.u.) = 3.07
- symmetry = F-43m, No. 216
- electronic total energy (eV/cell) = -14.78
- formation energy (eV/atom) = -0.272

Geometry as CIF:
```
data_NdSnHgGe
_cell_length_a 5.2464
_cell_length_b 5.2464
_cell_length_c 5.2464
_cell_angle_alpha 60.00
_cell_angle_beta 60.00
_cell_angle_gamma 60.00
_space_group_name_H-M_alt 'P 1'
_space_group_IT_number 1
_space_group_name_Hall 'P 1'
loop_
_atom_site_label
_atom_site_type_symbol
_atom_site_fract_x
_atom_site_fract_y
_atom_site_fract_z
Ge1 Ge 0.2500 0.2500 0.2500
Nd1 Nd 0.0000 0.0000 0.0000
Hg1 Hg 0.7500 0.7500 0.7500
Sn1 Sn 0.5000 0.5000 0.5000
```



Record 2
SrNdHgGe | PBE-GGA | relaxed

Values from the calculation:
- Fermi-level density of states (states/eV/f.u.) = 3.44
- symmetry = F-43m, No. 216
- electronic total energy (eV/cell) = -13.38
- formation energy (eV/atom) = -0.502

Geometry as CIF:
```
data_SrNdHgGe
_cell_length_a 5.4265
_cell_length_b 5.4265
_cell_length_c 5.4265
_cell_angle_alpha 60.00
_cell_angle_beta 60.00
_cell_angle_gamma 60.00
_space_group_name_H-M_alt 'P 1'
_space_group_IT_number 1
_space_group_name_Hall 'P 1'
loop_
_atom_site_label
_atom_site_type_symbol
_atom_site_fract_x
_atom_site_fract_y
_atom_site_fract_z
Sr1 Sr 0.0000 0.0000 0.0000
Ge1 Ge 0.2500 0.2500 0.2500
Nd1 Nd 0.5000 0.5000 0.5000
Hg1 Hg 0.7500 0.7500 0.7500
```



Record 3
TbNdHgGe | PBE-GGA | relaxed

Values from the calculation:
- Fermi-level density of states (states/eV/f.u.) = 3.50
- symmetry = F-43m, No. 216
- electronic total energy (eV/cell) = -16.56
- formation energy (eV/atom) = -0.560

Geometry as CIF:
```
data_TbNdHgGe
_cell_length_a 5.2427
_cell_length_b 5.2427
_cell_length_c 5.2427
_cell_angle_alpha 60.00
_cell_angle_beta 60.00
_cell_angle_gamma 60.00
_space_group_name_H-M_alt 'P 1'
_space_group_IT_number 1
_space_group_name_Hall 'P 1'
loop_
_atom_site_label
_atom_site_type_symbol
_atom_site_fract_x
_atom_site_fract_y
_atom_site_fract_z
Nd1 Nd 0.5000 0.5000 0.5000
Ge1 Ge 0.2500 0.2500 0.2500
Tb1 Tb 0.0000 0.0000 0.0000
Hg1 Hg 0.7500 0.7500 0.7500
```



Record 4
Nd4HgGeTe2 | PBE-GGA | relaxed

Values from the calculation:
- Fermi-level density of states (states/eV/f.u.) = 5.37
- symmetry = P2/m, No. 10
- formation energy (no corrections) (eV/atom) = -1.047
- electronic total energy (eV/cell) = -38.65

Geometry as CIF:
```
data_Nd4HgGeTe2
_cell_length_a 4.3838
_cell_length_b 7.6154
_cell_length_c 7.8511
_cell_angle_alpha 108.33
_cell_angle_beta 90.00
_cell_angle_gamma 90.00
_space_group_name_H-M_alt 'P 1'
_space_group_IT_number 1
_space_group_name_Hall 'P 1'
loop_
_atom_site_label
_atom_site_type_symbol
_atom_site_fract_x
_atom_site_fract_y
_atom_site_fract_z
Nd1 Nd 0.5000 0.2322 0.2315
Nd2 Nd 0.5000 0.7678 0.7685
Nd3 Nd 0.0000 0.2407 0.7550
Nd4 Nd 0.0000 0.7593 0.2450
Hg1 Hg 0.5000 0.5000 0.0000
Ge1 Ge 0.0000 0.0000 0.0000
Te1 Te 0.5000 0.0000 0.5000
Te2 Te 0.0000 0.5000 0.5000
```



Record 5
NdThHgGe | PBE-GGA | relaxed

Values from the calculation:
- Fermi-level density of states (states/eV/f.u.) = 3.14
- symmetry = F-43m, No. 216
- electronic total energy (eV/cell) = -18.84
- formation energy (eV/atom) = -0.432

Geometry as CIF:
```
data_NdThHgGe
_cell_length_a 5.3197
_cell_length_b 5.3197
_cell_length_c 5.3197
_cell_angle_alpha 60.00
_cell_angle_beta 60.00
_cell_angle_gamma 60.00
_space_group_name_H-M_alt 'P 1'
_space_group_IT_number 1
_space_group_name_Hall 'P 1'
loop_
_atom_site_label
_atom_site_type_symbol
_atom_site_fract_x
_atom_site_fract_y
_atom_site_fract_z
Ge1 Ge 0.7500 0.7500 0.7500
Nd1 Nd 0.5000 0.5000 0.5000
Hg1 Hg 0.2500 0.2500 0.2500
Th1 Th 0.0000 0.0000 0.0000
```



Record 6
NdTmHgGe | PBE-GGA | relaxed

Values from the calculation:
- Fermi-level density of states (states/eV/f.u.) = 3.38
- symmetry = F-43m, No. 216
- electronic total energy (eV/cell) = -16.30
- formation energy (eV/atom) = -0.534

Geometry as CIF:
```
data_NdTmHgGe
_cell_length_a 5.2032
_cell_length_b 5.2032
_cell_length_c 5.2032
_cell_angle_alpha 60.00
_cell_angle_beta 60.00
_cell_angle_gamma 60.00
_space_group_name_H-M_alt 'P 1'
_space_group_IT_number 1
_space_group_name_Hall 'P 1'
loop_
_atom_site_label
_atom_site_type_symbol
_atom_site_fract_x
_atom_site_fract_y
_atom_site_fract_z
Ge1 Ge 0.7500 0.7500 0.7500
Tm1 Tm 0.0000 0.0000 0.0000
Nd1 Nd 0.5000 0.5000 0.5000
Hg1 Hg 0.2500 0.2500 0.2500
```



Record 7
NiHgGe | PBE-GGA | relaxed

Values from the calculation:
- Fermi-level density of states (states/eV/f.u.) = 1.50
- symmetry = P-1, No. 2
- offset from the most stable computed form (eV/atom) = 0.0000
- electronic total energy (eV/cell) = -21.71
- formation energy (eV/atom) = -0.052

Geometry as CIF:
```
data_NiHgGe
_cell_length_a 3.0681
_cell_length_b 4.3395
_cell_length_c 9.1908
_cell_angle_alpha 77.05
_cell_angle_beta 81.79
_cell_angle_gamma 69.64
_space_group_name_H-M_alt 'P 1'
_space_group_IT_number 1
_space_group_name_Hall 'P 1'
loop_
_atom_site_label
_atom_site_type_symbol
_atom_site_fract_x
_atom_site_fract_y
_atom_site_fract_z
Ni1 Ni 0.6549 0.7505 0.9266
Ni2 Ni 0.3451 0.2495 0.0734
Hg1 Hg 0.8578 0.7544 0.6165
Hg2 Hg 0.1422 0.2456 0.3835
Ge1 Ge 0.9549 0.2122 0.8582
Ge2 Ge 0.0451 0.7878 0.1418
```



Record 8
NiHgGe | PBE-GGA | relaxed

Values from the calculation:
- Fermi-level density of states (states/eV/f.u.) = 1.49
- symmetry = P4mm, No. 99
- offset from the most stable computed form (eV/atom) = 0.0396
- electronic total energy (eV/cell) = -10.74
- formation energy (eV/atom) = -0.012

Geometry as CIF:
```
data_NiHgGe
_cell_length_a 2.9911
_cell_length_b 2.9911
_cell_length_c 5.8819
_cell_angle_alpha 90.00
_cell_angle_beta 90.00
_cell_angle_gamma 90.00
_space_group_name_H-M_alt 'P 1'
_space_group_IT_number 1
_space_group_name_Hall 'P 1'
loop_
_atom_site_label
_atom_site_type_symbol
_atom_site_fract_x
_atom_site_fract_y
_atom_site_fract_z
Ni1 Ni 0.5000 0.5000 0.9117
Hg1 Hg 0.0000 0.0000 0.5819
Ge1 Ge 0.0000 0.0000 0.1222
```



Record 9
NiHgGe | PBE-GGA | relaxed

Values from the calculation:
- Fermi-level density of states (states/eV/f.u.) = 1.37
- symmetry = P2_1/m, No. 11
- offset from the most stable computed form (eV/atom) = 0.0237
- electronic total energy (eV/cell) = -21.57
- formation energy (eV/atom) = -0.028

Geometry as CIF:
```
data_NiHgGe
_cell_length_a 4.7401
_cell_length_b 4.2546
_cell_length_c 5.5843
_cell_angle_alpha 90.00
_cell_angle_beta 108.55
_cell_angle_gamma 90.00
_space_group_name_H-M_alt 'P 1'
_space_group_IT_number 1
_space_group_name_Hall 'P 1'
loop_
_atom_site_label
_atom_site_type_symbol
_atom_site_fract_x
_atom_site_fract_y
_atom_site_fract_z
Ni1 Ni 0.3756 0.2500 0.0818
Ni2 Ni 0.6244 0.7500 0.9182
Hg1 Hg 0.3116 0.2500 0.5753
Hg2 Hg 0.6884 0.7500 0.4247
Ge1 Ge 0.8808 0.2500 0.1008
Ge2 Ge 0.1192 0.7500 0.8992
```



Record 10
NiHg2Ge | PBE-GGA | relaxed

Values from the calculation:
- Fermi-level density of states (states/eV/f.u.) = 0.21
- symmetry = I4_1/amd, No. 141
- electronic total energy (eV/cell) = -21.11
- formation energy (eV/atom) = 0.112

Geometry as CIF:
```
data_NiHg2Ge
_cell_length_a 10.0536
_cell_length_b 10.0536
_cell_length_c 7.4474
_cell_angle_alpha 47.55
_cell_angle_beta 47.55
_cell_angle_gamma 90.00
_space_group_name_H-M_alt 'P 1'
_space_group_IT_number 1
_space_group_name_Hall 'P 1'
loop_
_atom_site_label
_atom_site_type_symbol
_atom_site_fract_x
_atom_site_fract_y
_atom_site_fract_z
Ni1 Ni 0.5000 0.5000 0.0000
Ni2 Ni 0.2500 0.7500 0.5000
Ge1 Ge 0.0000 0.0000 0.0000
Ge2 Ge 0.7500 0.2500 0.5000
Hg1 Hg 0.3755 0.1250 0.2500
Hg2 Hg 0.3745 0.6250 0.2500
Hg3 Hg 0.3750 0.6245 0.7500
Hg4 Hg 0.8750 0.6255 0.7500
```